# 1
A geometry-optimized Y8Cu structure, computed with GGA-PBE.

Cell: 9.2127 9.2127 3.6548 Å, 90.00 90.00 120.00°
Sites, in units of the cell vectors:
Cu (0.0000, 0.0000, 0.0000)
Y (0.6091, 0.0000, 0.0000)
Y (0.3909, 0.3909, 0.0000)
Y (0.0000, 0.6091, 0.0000)
Y (0.2471, 0.0000, 0.5000)
Y (0.0000, 0.2471, 0.5000)
Y (0.6667, 0.3333, 0.5000)
Y (0.3333, 0.6667, 0.5000)
Y (0.7529, 0.7529, 0.5000)

Properties
DFT formation energy, eV/atom: -0.05

***

# 2
A geometry-optimized Y2Cu structure, computed with GGA-PBE.

Cell: 8.3749 8.3749 8.3749 Å, 60.00 60.00 60.00°
Sites, in units of the cell vectors:
Cu (0.2500, 0.2500, 0.2500)
Cu (0.5000, 0.5000, 0.5000)
Y (0.3750, 0.3750, 0.3750)
Y (0.8750, 0.3750, 0.3750)
Y (0.3750, 0.8750, 0.3750)
Y (0.3750, 0.3750, 0.8750)

Properties
DFT formation energy, eV/atom: 1.33

***

# 3
A geometry-optimized Y2Cu structure, computed with GGA-PBE.

Cell: 6.1325 6.1325 6.1325 Å, 60.00 60.00 60.00°
Sites, in units of the cell vectors:
Cu (0.0000, 0.0000, 0.0000)
Cu (0.2500, 0.2500, 0.2500)
Y (0.6250, 0.6250, 0.1250)
Y (0.6250, 0.1250, 0.6250)
Y (0.1250, 0.6250, 0.6250)
Y (0.6250, 0.6250, 0.6250)

Properties
DFT formation energy, eV/atom: 0.77

***

# 4
A geometry-optimized YZn8Cu4 structure, computed with GGA-PBE.

Cell: 6.6802 6.6802 6.6802 Å, 97.90 97.90 136.47°
Sites, in units of the cell vectors:
Cu (0.5000, 0.0000, 0.0000)
Cu (0.0000, 0.5000, 0.0000)
Cu (0.0000, 0.0000, 0.5000)
Cu (0.5000, 0.5000, 0.5000)
Y (0.0000, 0.0000, 0.0000)
Zn (0.7190, 0.5000, 0.2190)
Zn (0.5000, 0.7190, 0.2190)
Zn (0.3479, 0.0000, 0.3479)
Zn (0.0000, 0.3479, 0.3479)
Zn (0.6521, 0.0000, 0.6521)
Zn (0.0000, 0.6521, 0.6521)
Zn (0.5000, 0.2810, 0.7810)
Zn (0.2810, 0.5000, 0.7810)

Properties
DFT formation energy, eV/atom: -0.21

***

# 5
A geometry-optimized YZrCu6 structure, computed with GGA-PBE.

Cell: 4.4534 5.8189 4.7442 Å, 90.00 90.00 90.00°
Sites, in units of the cell vectors:
Cu (0.0000, 0.5000, 0.1931)
Cu (0.5000, 0.2732, 0.3532)
Cu (0.5000, 0.7268, 0.3532)
Cu (0.0000, 0.2733, 0.6616)
Cu (0.0000, 0.7267, 0.6616)
Cu (0.5000, 0.0000, 0.7653)
Y (0.0000, 0.0000, 0.1588)
Zr (0.5000, 0.5000, 0.8533)

Properties
DFT formation energy, eV/atom: -0.14

***

# 6
A geometry-optimized Zn4Cu3 structure, computed with GGA-PBE.

Cell: 7.0037 7.0038 4.2681 Å, 90.00 90.00 60.00°
Sites, in units of the cell vectors:
Cu (0.1411, 0.2871, 0.0000)
Cu (0.2861, 0.5697, 0.0000)
Cu (0.8585, 0.7147, 0.0000)
Cu (0.3827, 0.0939, 0.5000)
Cu (0.6653, 0.6663, 0.5000)
Cu (0.2377, 0.8113, 0.5000)
Zn (0.5612, 0.1465, 0.0000)
Zn (0.7180, 0.4351, 0.0000)
Zn (0.4286, 0.8571, 0.0000)
Zn (0.0065, 0.9898, 0.0000)
Zn (0.9626, 0.2344, 0.5000)
Zn (0.5173, 0.3912, 0.5000)
Zn (0.0952, 0.5238, 0.5000)
Zn (0.8059, 0.9458, 0.5000)

Properties
DFT formation energy, eV/atom: -0.08
ΔE to the lowest computed polymorph, eV/atom: 0.000

***

Please write out number 1 again, unchanged.
A geometry-optimized Y8Cu structure, computed with GGA-PBE.

Cell: 9.2127 9.2127 3.6548 Å, 90.00 90.00 120.00°
Sites, in units of the cell vectors:
Cu (0.0000, 0.0000, 0.0000)
Y (0.6091, 0.0000, 0.0000)
Y (0.3909, 0.3909, 0.0000)
Y (0.0000, 0.6091, 0.0000)
Y (0.2471, 0.0000, 0.5000)
Y (0.0000, 0.2471, 0.5000)
Y (0.6667, 0.3333, 0.5000)
Y (0.3333, 0.6667, 0.5000)
Y (0.7529, 0.7529, 0.5000)

Properties
DFT formation energy, eV/atom: -0.05